SrMg2PBr | PBE | optimized geometry

Computed properties:
- total moment (μB per formula unit) = 0.000
- crystal system = tetragonal
- space group = No. 123
- DOS at the Fermi energy (states/eV/atom) = 1.01
- uncorrected energy (eV/atom) = -1.7647

a = 6.681 Å, b = 5.276 Å, c = 6.681 Å
α = 90.00°, β = 90.00°, γ = 90.00°
Positions (direct):
1 Sr 0.000 0.000 0.000
2 Mg 0.000 0.000 0.500
3 Mg 0.500 0.000 0.000
4 P 0.000 0.500 0.000
5 Br 0.500 0.500 0.500

---

Zr3CdH | PBE | optimized geometry

Computed properties:
- total moment (μB per formula unit) = 0.000
- crystal system = orthorhombic
- space group = No. 63
- DOS at the Fermi energy (states/eV/atom) = 1.04
- distance to the lowest polymorph of the same formula (meV/atom) = 774
- uncorrected energy (eV/atom) = -5.4491

a = 8.508 Å, b = 8.508 Å, c = 5.370 Å
α = 90.00°, β = 90.00°, γ = 141.42°
Positions (direct):
1 Zr 0.000 0.000 0.500
2 Zr 0.419 0.073 0.750
3 Zr 0.581 0.927 0.250
4 Zr 0.927 0.581 0.750
5 Zr 0.073 0.419 0.250
6 Zr 0.000 0.000 0.000
7 Cd 0.164 0.836 0.250
8 Cd 0.836 0.164 0.750
9 H 0.421 0.579 0.250
10 H 0.579 0.421 0.750

---

Zn2Cu5Au | PBE | optimized geometry

Computed properties:
- total moment (μB per formula unit) = 0.000
- crystal system = orthorhombic
- energy relative to the elements (meV per atom) = -89
- space group = No. 55
- DOS at the Fermi energy (states/eV/atom) = 0.35
- distance to the lowest polymorph of the same formula (meV/atom) = 0
- uncorrected energy (eV/atom) = -3.3769

a = 3.762 Å, b = 5.308 Å, c = 10.657 Å
α = 90.00°, β = 90.00°, γ = 90.00°
Positions (direct):
1 Zn 0.500 0.741 0.371
2 Zn 0.500 0.241 0.129
3 Zn 0.500 0.259 0.629
4 Zn 0.500 0.759 0.871
5 Cu 0.000 0.503 0.745
6 Cu 0.000 0.500 0.500
7 Cu 0.500 0.245 0.869
8 Cu 0.500 0.755 0.131
9 Cu 0.000 0.997 0.245
10 Cu 0.000 0.003 0.755
11 Cu 0.000 0.000 0.000
12 Cu 0.500 0.255 0.369
13 Cu 0.000 0.497 0.255
14 Cu 0.500 0.745 0.631
15 Au 0.000 0.500 0.000
16 Au 0.000 0.000 0.500

---

SrBe2VC | PBE | optimized geometry

Computed properties:
- total moment (μB per formula unit) = 3.474
- crystal system = tetragonal
- energy relative to the elements (meV per atom) = 1129
- space group = No. 123
- DOS at the Fermi energy (states/eV/atom) = 0.78
- uncorrected energy (eV/atom) = -4.3667

a = 3.806 Å, b = 3.806 Å, c = 5.187 Å
α = 90.00°, β = 90.00°, γ = 90.00°
Site moments in Bohr magnetons follow the coordinates.
Positions (direct):
1 Sr 0.000 0.000 0.500  0.13
2 Be 0.500 0.000 0.000  -0.01
3 Be 0.000 0.500 0.000  -0.01
4 C 0.000 0.000 0.000  0.08
5 V 0.500 0.500 0.500  2.72

---

Ba2In3Sn2 | PBE | optimized geometry

Computed properties:
- total moment (μB per formula unit) = 0.000
- crystal system = monoclinic
- energy relative to the elements (meV per atom) = -454
- space group = No. 12
- DOS at the Fermi energy (states/eV/atom) = 0.51
- distance to the lowest polymorph of the same formula (meV/atom) = 0
- uncorrected energy (eV/atom) = -3.3207

a = 4.971 Å, b = 6.635 Å, c = 7.996 Å
α = 108.21°, β = 90.00°, γ = 112.00°
Positions (direct):
1 In 0.500 0.000 0.000
2 In 0.599 0.199 0.428
3 In 0.401 0.801 0.572
4 Ba 0.858 0.715 0.220
5 Ba 0.142 0.285 0.780
6 Sn 0.839 0.678 0.736
7 Sn 0.161 0.322 0.264

---

KCuSCl2 | PBE | optimized geometry

Computed properties:
- total moment (μB per formula unit) = 2.034
- crystal system = tetragonal
- space group = No. 123
- DOS at the Fermi energy (states/eV/atom) = 0.94
- distance to the lowest polymorph of the same formula (meV/atom) = 1140
- uncorrected energy (eV/atom) = -2.1320

a = 5.752 Å, b = 5.752 Å, c = 5.707 Å
α = 90.00°, β = 90.00°, γ = 90.00°
Site moments in Bohr magnetons follow the coordinates.
Positions (direct):
1 Cl 0.000 0.500 0.000  0.17
2 Cl 0.500 0.000 0.000  0.17
3 Cu 0.500 0.500 0.500  0.02
4 S 0.000 0.000 0.500  0.96
5 K 0.000 0.000 0.000  0.01

---

> DOS at the Fermi energy of number 4 (SrBe2VC)?

0.78 states/eV/atom

---

Please write out number 6 again, unchanged.
KCuSCl2 | PBE | optimized geometry

Computed properties:
- total moment (μB per formula unit) = 2.034
- crystal system = tetragonal
- space group = No. 123
- DOS at the Fermi energy (states/eV/atom) = 0.94
- distance to the lowest polymorph of the same formula (meV/atom) = 1140
- uncorrected energy (eV/atom) = -2.1320

a = 5.752 Å, b = 5.752 Å, c = 5.707 Å
α = 90.00°, β = 90.00°, γ = 90.00°
Site moments in Bohr magnetons follow the coordinates.
Positions (direct):
1 Cl 0.000 0.500 0.000  0.17
2 Cl 0.500 0.000 0.000  0.17
3 Cu 0.500 0.500 0.500  0.02
4 S 0.000 0.000 0.500  0.96
5 K 0.000 0.000 0.000  0.01

---

> Which value of uncorrected energy does entry 3 give?

-3.3769 eV/atom

---

> Look up the total moment of the fifth one.

0.000 μB per formula unit